1.
The following is a PBE calculation of a relaxed structure of Sr2MnOs, from Alexandria via LeMat-Bulk.

extended XYZ file:
```
4
Lattice="-1.976 2.532 5.593 1.976 -2.532 5.593 1.976 2.532 -5.593" Properties=species:S:1:pos:R:3 pbc="T T T"
Sr 0.000 0.000 0.000
Sr 0.000 2.532 2.483
Mn 1.976 0.000 3.365
Os 0.000 0.000 4.631
```

The total magnetization is 0.928 μB/atom. The calculation puts the energy relative to the lowest polymorph listed for this composition at 0.2761 eV/atom. The energy of formation is 0.513 eV/atom. The symmetry is Imm2, No. 44.

---

2.
The following is a PBE calculation of a relaxed structure of BaCa2AlH, from Alexandria via LeMat-Bulk.

extended XYZ file:
```
5
Lattice="5.121 0.000 0.000 0.000 5.121 0.000 0.000 0.000 5.304" Properties=species:S:1:pos:R:3 pbc="T T T"
Ba 0.000 0.000 0.000
Ca 0.000 2.560 2.652
Ca 2.560 0.000 2.652
Al 2.560 2.560 0.000
H 0.000 0.000 2.652
```

The total magnetization is 0.000 μB/atom. The energy comes out at -2.76 eV/atom. The symmetry is P4/mmm, No. 123.